An optimized crystal structure of TlVNi3. Source: Alexandria via LeMat-Bulk, functional PBE.

Unit cell a=4.407 b=4.407 c=4.407 alpha=90.00 beta=90.00 gamma=90.00
Positions (direct):
Tl  0.500  0.500  0.500
Ni  0.500  0.000  0.000
Ni  0.000  0.500  0.000
Ni  0.000  0.000  0.500
V  0.000  0.000  0.000

Properties
Crystal system: cubic
Volume: 17.1 A^3/atom
Total magnetization: 0.276 μB/atom
ΔE_f: 4.60 eV per formula unit
SG: Pm-3m



An optimized crystal structure of Ta2TlAg. Source: Alexandria via LeMat-Bulk, functional PBE.

Unit cell a=5.780 b=5.780 c=5.780 alpha=148.94 beta=127.34 gamma=62.41
Positions (direct):
Ag  0.243  0.743  0.500
Ta  0.766  0.266  0.500
Ta  0.994  0.994  0.000
Tl  0.497  0.497  0.000

Properties
Crystal system: orthorhombic
Volume: 19.6 A^3/atom
Total magnetization: 0.000 μB/atom
ΔE_f: 2.03 eV per formula unit
SG: Imm2



An optimized crystal structure of BW2Se. Source: Alexandria via LeMat-Bulk, functional PBE.

Unit cell a=3.159 b=3.159 c=6.483 alpha=90.00 beta=90.00 gamma=120.00
Positions (direct):
Se  0.333  0.667  0.500
B  0.333  0.667  0.000
W  0.667  0.333  0.785
W  0.667  0.333  0.215

Properties
Crystal system: hexagonal
Volume: 14.0 A^3/atom
Energy above the most stable polymorph in this dataset: 205 meV/atom
Total magnetization: 0.000 μB/atom
Formation energy from raw total energies: 80 meV/atom
SG: P-6m2



An optimized crystal structure of ZrInSe2. Source: Alexandria via LeMat-Bulk, functional PBE.

Unit cell a=17.734 b=8.069 c=8.069 alpha=93.48 beta=111.87 gamma=68.13
Positions (direct):
In  0.626  0.019  0.892
In  0.897  0.394  0.994
In  0.603  0.494  0.894
In  0.874  0.392  0.519
In  0.397  0.506  0.106
In  0.374  0.981  0.108
In  0.126  0.608  0.481
In  0.103  0.606  0.006
Se  0.284  0.284  0.306
Se  0.216  0.806  0.784
Se  0.961  0.774  0.606
Se  0.461  0.894  0.726
Se  0.250  0.799  0.299
Se  0.082  0.243  0.937
Se  0.918  0.757  0.063
Se  0.750  0.201  0.701
Se  0.716  0.716  0.694
Se  0.539  0.106  0.274
Se  0.582  0.563  0.257
Se  0.250  0.362  0.862
Se  0.418  0.437  0.743
Se  0.784  0.194  0.216
Se  0.750  0.638  0.138
Se  0.039  0.226  0.394
Zr  0.331  0.207  0.647
Zr  0.670  0.216  0.357
Zr  0.831  0.853  0.293
Zr  0.330  0.784  0.643
Zr  0.169  0.147  0.707
Zr  0.170  0.143  0.284
Zr  0.669  0.793  0.353
Zr  0.830  0.857  0.716

Properties
Crystal system: monoclinic
Volume: 30.9 A^3/atom
Total magnetization: 0.000 μB/atom
Formation energy from raw total energies: -757 meV/atom
SG: C2/c